(1)
{
  "formula": "RbCaTbO3",
  "functional": "PBE",
  "state": "relaxed",
  "total_energy_ev_per_atom": -6.310,
  "raw_formation_energy_ev_per_fu": -15.4,
  "cell": [[7.7045, 0.0000, 0.0000], [0.0000, 3.5120, 0.0000], [-0.5894, 0.0000, 10.0415]],
  "species": ["Rb", "Rb", "Ca", "Ca", "Tb", "Tb", "O", "O", "O", "O", "O", "O"],
  "frac_coords": [[0.1241, 0.2500, 0.2044], [0.8759, 0.7500, 0.7956], [0.1585, 0.2500, 0.5632], [0.8415, 0.7500, 0.4368], [0.4026, 0.7500, 0.8720], [0.5974, 0.2500, 0.1280], [0.1374, 0.7500, 0.4308], [0.2515, 0.2500, 0.7864], [0.3928, 0.7500, 0.0859], [0.6072, 0.2500, 0.9141], [0.7485, 0.7500, 0.2136], [0.8626, 0.2500, 0.5692]]
}

---

(2)
{
  "formula": "Rb3CaTc2O8",
  "functional": "PBE",
  "state": "relaxed",
  "total_energy_ev_per_atom": -6.472,
  "raw_formation_energy_ev_per_fu": -25.3,
  "cell": [[6.2026, 0.0000, 0.0000], [-3.1013, 5.3716, 0.0000], [0.0000, 0.0000, 8.0421]],
  "species": ["Rb", "Rb", "Rb", "Ca", "Tc", "Tc", "O", "O", "O", "O", "O", "O", "O", "O"],
  "frac_coords": [[0.0000, 0.0000, 0.0000], [0.3333, 0.6667, 0.6726], [0.6667, 0.3333, 0.3274], [0.0000, 0.0000, 0.5000], [0.3333, 0.6667, 0.2345], [0.6667, 0.3333, 0.7655], [0.1756, 0.3513, 0.3228], [0.1756, 0.8244, 0.3228], [0.3333, 0.6667, 0.0140], [0.3513, 0.1756, 0.6772], [0.6487, 0.8244, 0.3228], [0.6667, 0.3333, 0.9860], [0.8244, 0.1756, 0.6772], [0.8244, 0.6487, 0.6772]]
}